VASP calculation (PBE) on La2DyHo4Th after structural relaxation.

**DFT formation energy**: 317 kJ/mol of formula units
**Energy**: -4.61 eV per atom

Unit cell a=13.6380 b=13.3236 c=6.8089 alpha=90.00 beta=119.94 gamma=90.00
With the nearest neighbours (Å) after each atom.
Space group C2/c (No. 15)
Symmetry-distinct sites (fractional):
La  0.0000  0.0000  0.0000  6 Ho 3.39-3.46, 2 La 3.40
La  0.2500  0.2500  0.0000  6 Ho 3.34-3.44, 2 Th 3.40
Dy  0.0000  0.5000  0.0000  6 Ho 3.27-3.37, 2 Dy 3.40
Ho  0.0000  0.2544  0.0083  1 Dy 3.27, 2 Ho 3.29-3.52, 2 Th 3.38, 3 La 3.39-3.44
Ho  0.2455  0.4997  0.4945  1 Th 3.33, 3 La 3.34-3.46, 2 Dy 3.36-3.37, 2 Ho 3.40
Th  0.2500  0.2500  0.5000  6 Ho 3.33-3.38, 2 La 3.40